Na2AcBiO4 | PBE | relaxed

Summary:
Formation energy from raw total energies   -163.1 kJ/mol of atoms
Mass density   6.38 Mg/m³
Crystal system   orthorhombic

Cell: 7.0217 7.0217 10.9384 Å, 90.00 90.00 148.20°
Closest atoms and distances in Å follow each position.
Element x y z (fractional)
Na 0.0938 0.9062 0.5391  4 O 2.14-2.34
Na 0.0938 0.9062 0.9609  4 O 2.14-2.34
Na 0.9062 0.0938 0.0391  4 O 2.14-2.34
Na 0.9062 0.0938 0.4609  4 O 2.14-2.34
Ac 0.4411 0.5589 0.7500  8 O 2.65-2.85
Ac 0.5589 0.4411 0.2500  8 O 2.65-2.85
Bi 0.2927 0.7073 0.2500  2 O 2.09
Bi 0.7073 0.2927 0.7500  2 O 2.09
O 0.0766 0.9234 0.7500  2 Na 2.32
O 0.1716 0.8284 0.1312  1 Bi 2.09, 1 Na 2.14
O 0.1716 0.8284 0.3688  1 Bi 2.09, 1 Na 2.14
O 0.5000 0.5000 0.0000  4 Na 2.34
O 0.5000 0.5000 0.5000  4 Na 2.34
O 0.8284 0.1716 0.6312  1 Bi 2.09, 1 Na 2.14
O 0.8284 0.1716 0.8688  1 Bi 2.09, 1 Na 2.14
O 0.9234 0.0766 0.2500  2 Na 2.32